Here is a relaxed Nb2VGa crystal from Alexandria. Energies are from PBE.

## Properties
Energy relative to the elements   0.4 eV per formula unit
VASP energy   -0.58538 Ry per atom
M_tot   0.00 μB per formula unit

Cell and atoms, written as CIF:
```
data_Nb2VGa
_space_group_name_H-M_alt 'R -3 m'
_space_group_IT_number 166
_space_group_name_Hall '-R 3 2"'
_cell_length_a 3.0719
_cell_length_b 3.0719
_cell_length_c 25.1542
_cell_angle_alpha 90.00
_cell_angle_beta 90.00
_cell_angle_gamma 120.00
loop_
_atom_site_label
_atom_site_type_symbol
_atom_site_fract_x
_atom_site_fract_y
_atom_site_fract_z
Nb1 Nb 0.0000 0.0000 0.2452
V1 V 0.0000 0.0000 0.5000
Ga1 Ga 0.0000 0.0000 0.0000
```